Material: Rb4TeO5
Method: DFT, PBE
State: optimized geometry

Cell: 5.9713 6.7459 6.7459 Å, 78.70 63.73 63.73°
Positions (direct):
Rb: 0.6260 0.6040 0.1931
Rb: 0.8191 0.8069 0.6040
Rb: 0.4231 0.3960 0.8069
Rb: 0.2300 0.1931 0.3960
O: 0.3729 0.0000 0.0000
O: 0.2087 0.8554 0.7184
O: 0.7825 0.1446 0.2816
O: 0.0640 0.7184 0.1446
O: 0.9271 0.2816 0.8554
Te: 0.0569 0.0000 0.0000

Results
For the total energy, the calculation gives -4.578 eV per atom. The formation energy without anion corrections is -1.3980 eV/atom. The spin magnetization comes out at 0.0 μB per cell. The symmetry is I4, No. 79.